(1)
The following is a DFT calculation (PBEsol) of crystalline TaBeRu at its relaxed geometry.

```
TaBeRu
1.0
2.971 0.000 0.000
-1.486 2.573 0.000
0.000 0.000 5.267
Ta Be Ru
1 1 1
direct
0.000 0.000 0.000
0.333 0.667 0.664
0.667 0.333 0.394
```

Values from the calculation:
energy of formation from the pure elements = 0.088 eV per atom
density of states at the Fermi level = 1.11 states/eV/cell


(2)
The following is a DFT calculation (PBEsol) of crystalline ScFe2Os at its relaxed geometry.

```
ScFe2Os
1.0
2.593 -4.093 0.000
2.593 4.093 0.000
-0.746 0.000 2.536
Sc Fe Os
1 2 1
direct
0.000 0.000 0.000
0.000 0.500 0.500
0.500 0.000 0.500
0.500 0.500 0.000
```

Values from the calculation:
energy of formation from the pure elements = 0.079 eV per atom
polymorph energy (0 for the lowest one) = 3 meV per atom
density of states at the Fermi level = 3.10 states/eV/cell


(3)
The following is a DFT calculation (PBEsol) of crystalline Ba2Ca2Sb at its relaxed geometry.

```
Ba2Ca2Sb
1.0
-2.292 2.292 10.706
2.292 -2.292 10.706
2.292 2.292 -10.706
Ba Ca Sb
2 2 1
direct
0.080 0.080 0.000
0.920 0.920 0.000
0.250 0.750 0.500
0.750 0.250 0.500
0.500 0.500 0.000
```

Values from the calculation:
energy relative to the elements, uncorrected = -88 kJ/mol of formula units
density of states at the Fermi level = 4.89 states/eV/cell


(4)
The following is a DFT calculation (PBEsol) of crystalline KZrPb2 at its relaxed geometry.

```
KZrPb2
1.0
2.048 -2.574 0.000
2.048 2.574 0.000
0.000 0.000 11.279
K Zr Pb
1 1 2
direct
0.000 0.000 0.000
0.500 0.500 0.292
0.000 0.000 0.489
0.500 0.500 0.724
```

Values from the calculation:
energy of formation from the pure elements = 0.308 eV per atom
polymorph energy (0 for the lowest one) = 499 meV per atom
density of states at the Fermi level = 3.83 states/eV/cell


- Look up the density of states at the Fermi level of the fourth one.
  3.83 states/eV/cell